The following is a DFT calculation (PBE) of HPdBr2 after structural relaxation.

The space group is I-42d (No. 122) and the conventional cell measures 5.642, 5.642 and 10.008 Å, with angles of 90.00, 90.00 and 90.00 degrees. Symmetry generates all atoms from H at (0.000, 0.000, 0.000), Pd at (0.000, 0.000, 0.500) and Br at (0.188, 0.250, 0.125).

For the offset from the most stable computed form, the calculation gives 0.377 eV/atom. Its crystal system is tetragonal.